## Pm2MnNiO6 (PBE+U)

Data for crystalline Pm2MnNiO6 at its relaxed geometry.

Lattice parameters (Å, degrees): 5.4053 5.5989 7.7117 90.00 89.90 90.00
Last column: magnetic moment on the atom in μB.
Sites, in units of the cell vectors:
O  0.2881  0.6970  0.0461  -0.01
O  0.8048  0.7863  0.9509  -0.01
O  0.6952  0.2863  0.5491  -0.01
O  0.3048  0.7137  0.4509  -0.01
O  0.7119  0.3030  0.9539  -0.01
O  0.4098  0.9750  0.7423  -0.01
O  0.7881  0.8030  0.5461  -0.01
O  0.2119  0.1970  0.4539  -0.01
O  0.5902  0.0250  0.2577  -0.01
O  0.0902  0.4750  0.7577  -0.01
O  0.9098  0.5250  0.2423  -0.01
O  0.1952  0.2137  0.0491  -0.01
Pm  0.9859  0.0580  0.7492  0.01
Pm  0.4859  0.4420  0.2492  0.01
Pm  0.5141  0.5580  0.7508  0.01
Pm  0.0141  0.9420  0.2508  0.01
Mn  0.5000  0.0000  0.5000  3.24
Mn  0.0000  0.5000  0.0000  3.24
Ni  0.5000  0.0000  0.0000  1.72
Ni  0.0000  0.5000  0.5000  1.72

Properties
The density of states at the Fermi level comes out at 0.0 states/eV/f.u. The total energy comes out at -7.35 eV/atom. As for the total moment: 0.499 μB/atom. The volume is 233.4 Å³ per cell.